Model i:
{"formula": "MnNb3S", "functional": "PBE", "state": "relaxed", "vol_a3_per_cell": 98, "space_group": "Pm-3m, No. 221", "density_g_cm3": 6.19, "cell": [[-2.552, 2.064, -3.238], [-3.161, -3.338, 0.363], [-2.181, 2.421, 3.263]], "species": ["Nb", "Nb", "Nb", "Mn", "S"], "frac_coords": [[0.000, 0.500, 0.000], [0.000, 0.000, 0.500], [0.500, 0.000, 0.000], [0.000, 0.000, 0.000], [0.500, 0.500, 0.500]]}

***

Model ii:
{"formula": "MnNb3S", "functional": "PBE", "state": "relaxed", "vol_a3_per_cell": 92, "space_group": "Pm-3m, No. 221", "density_g_cm3": 6.57, "cell": [[4.522, 0.000, 0.000], [0.000, 4.522, 0.000], [0.000, 0.000, 4.522]], "species": ["Nb", "Nb", "Nb", "Mn", "S"], "frac_coords": [[0.000, 0.500, 0.000], [0.000, 0.000, 0.500], [0.500, 0.000, 0.000], [0.500, 0.500, 0.500], [0.000, 0.000, 0.000]]}

***

It is model i that is the least stable of them.

***

Model i:
{"formula": "ScMnNb2", "functional": "PBE", "state": "relaxed", "vol_a3_per_cell": 70, "space_group": "P4/mmm, No. 123", "density_g_cm3": 6.81, "cell": [[3.080, 0.000, 0.000], [0.000, 3.080, 0.000], [0.000, 0.000, 7.337]], "species": ["Sc", "Nb", "Nb", "Mn"], "frac_coords": [[0.500, 0.500, 0.500], [0.000, 0.000, 0.794], [0.000, 0.000, 0.206], [0.500, 0.500, 0.000]]}

***

Model ii:
{"formula": "ScMnNb2", "functional": "PBE", "state": "relaxed", "vol_a3_per_cell": 67, "space_group": "Fm-3m, No. 225", "density_g_cm3": 7.13, "cell": [[-0.734, -3.589, -2.697], [-3.425, -2.856, 0.897], [-3.650, -0.097, -2.713]], "species": ["Sc", "Nb", "Nb", "Mn"], "frac_coords": [[0.000, 0.000, 0.000], [0.250, 0.250, 0.250], [0.750, 0.750, 0.750], [0.500, 0.500, 0.500]]}

***

Model iii:
{"formula": "ScMnNb2", "functional": "PBE", "state": "relaxed", "vol_a3_per_cell": 147, "space_group": "I-42d, No. 122", "density_g_cm3": 6.44, "cell": [[7.270, 0.000, 0.000], [0.000, 7.270, 0.000], [3.635, 3.635, 2.787]], "species": ["Sc", "Sc", "Nb", "Nb", "Nb", "Nb", "Mn", "Mn"], "frac_coords": [[0.500, 0.500, 0.000], [0.250, 0.750, 0.500], [0.680, 0.125, 0.250], [0.070, 0.625, 0.250], [0.375, 0.320, 0.750], [0.875, 0.930, 0.750], [0.000, 0.000, 0.000], [0.750, 0.250, 0.500]]}

***

It is model iii that is the least stable of them.

***

Model i:
{"formula": "Mn3NbSe", "functional": "PBE", "state": "relaxed", "vol_a3_per_cell": 107, "space_group": "Pm-3m, No. 221", "density_g_cm3": 5.25, "cell": [[-2.491, 4.034, -0.038], [-0.052, 0.012, 4.741], [4.034, 2.491, 0.038]], "species": ["Nb", "Mn", "Mn", "Mn", "Se"], "frac_coords": [[0.000, 0.000, 0.000], [0.000, 0.500, 0.000], [0.000, 0.000, 0.500], [0.500, 0.000, 0.000], [0.500, 0.500, 0.500]]}

***

Model ii:
{"formula": "Mn3NbSe", "functional": "PBE", "state": "relaxed", "vol_a3_per_cell": 76, "space_group": "Pm-3m, No. 221", "density_g_cm3": 7.31, "cell": [[-1.873, 3.175, 2.102], [-3.222, -0.074, -2.761], [-2.029, -2.815, 2.444]], "species": ["Nb", "Mn", "Mn", "Mn", "Se"], "frac_coords": [[0.500, 0.500, 0.500], [0.000, 0.500, 0.000], [0.000, 0.000, 0.500], [0.500, 0.000, 0.000], [0.000, 0.000, 0.000]]}

***

It is model i that is the least stable of them.

***

Model i:
{"formula": "MnNb3Si", "functional": "PBE", "state": "relaxed", "vol_a3_per_cell": 98, "space_group": "Pm-3m, No. 221", "density_g_cm3": 6.11, "cell": [[-4.291, -1.413, 0.947], [1.272, -4.371, -0.760], [1.130, -0.446, 4.453]], "species": ["Nb", "Nb", "Nb", "Mn", "Si"], "frac_coords": [[0.000, 0.500, 0.000], [0.000, 0.000, 0.500], [0.500, 0.000, 0.000], [0.500, 0.500, 0.500], [0.000, 0.000, 0.000]]}

***

Model ii:
{"formula": "MnNb3Si", "functional": "PBE", "state": "relaxed", "vol_a3_per_cell": 95, "space_group": "Pm-3m, No. 221", "density_g_cm3": 6.34, "cell": [[4.559, 0.000, 0.000], [0.000, 4.559, 0.000], [0.000, 0.000, 4.559]], "species": ["Nb", "Nb", "Nb", "Mn", "Si"], "frac_coords": [[0.000, 0.500, 0.000], [0.000, 0.000, 0.500], [0.500, 0.000, 0.000], [0.000, 0.000, 0.000], [0.500, 0.500, 0.500]]}

***

It is model i that is the least stable of them.

***

Model i:
{"formula": "SrMnNb3", "functional": "PBE", "state": "relaxed", "vol_a3_per_cell": 110, "space_group": "Pm-3m, No. 221", "density_g_cm3": 6.33, "cell": [[4.799, 0.000, 0.000], [0.000, 4.799, 0.000], [0.000, 0.000, 4.799]], "species": ["Sr", "Nb", "Nb", "Nb", "Mn"], "frac_coords": [[0.500, 0.500, 0.500], [0.000, 0.500, 0.000], [0.000, 0.000, 0.500], [0.500, 0.000, 0.000], [0.000, 0.000, 0.000]]}

***

Model ii:
{"formula": "SrMnNb3", "functional": "PBE", "state": "relaxed", "vol_a3_per_cell": 110, "space_group": "Pm-3m, No. 221", "density_g_cm3": 6.34, "cell": [[4.797, 0.000, 0.000], [0.000, 4.797, 0.000], [0.000, 0.000, 4.797]], "species": ["Sr", "Nb", "Nb", "Nb", "Mn"], "frac_coords": [[0.000, 0.000, 0.000], [0.000, 0.500, 0.000], [0.000, 0.000, 0.500], [0.500, 0.000, 0.000], [0.500, 0.500, 0.500]]}

***

It is model ii that is the least stable of them.

***

Model i:
{"formula": "SrMn2Nb", "functional": "PBE", "state": "relaxed", "vol_a3_per_cell": 218, "space_group": "I4_1/amd, No. 141", "density_g_cm3": 4.42, "cell": [[-1.465, 4.860, 0.809], [-3.359, -1.603, 3.546], [3.383, 2.403, 8.017]], "species": ["Sr", "Sr", "Nb", "Nb", "Mn", "Mn", "Mn", "Mn"], "frac_coords": [[0.500, 0.500, 0.000], [0.250, 0.750, 0.500], [0.000, 0.000, 0.000], [0.750, 0.250, 0.500], [0.875, 0.125, 0.250], [0.875, 0.625, 0.250], [0.375, 0.125, 0.750], [0.875, 0.125, 0.750]]}

***

Model ii:
{"formula": "SrMn2Nb", "functional": "PBE", "state": "relaxed", "vol_a3_per_cell": 69, "space_group": "Fm-3m, No. 225", "density_g_cm3": 6.98, "cell": [[0.000, 3.258, 3.258], [3.258, 0.000, 3.258], [3.258, 3.258, 0.000]], "species": ["Sr", "Nb", "Mn", "Mn"], "frac_coords": [[0.000, 0.000, 0.000], [0.500, 0.500, 0.500], [0.250, 0.250, 0.250], [0.750, 0.750, 0.750]]}

***

It is model ii that is the least stable of them.